! Mg2CrRh | Alexandria | PBE-GGA | relaxed; values from VASP
&SYSTEM
  ibrav = 0, nat = 4, ntyp = 3
/
ATOMIC_SPECIES
Mg 24.30 Mg.upf
Cr 52.00 Cr.upf
Rh 102.91 Rh.upf
CELL_PARAMETERS angstrom
2.782 0.000 0.000
0.000 2.782 0.000
0.000 0.000 8.048
ATOMIC_POSITIONS angstrom
Mg 0.000 0.000 1.894
Mg 0.000 0.000 6.154
Cr 1.391 1.391 4.024
Rh 1.391 1.391 0.000
! formation energy from the elements = 0.195 eV/atom
! offset from the most stable computed form = 0.252 eV/atom

! Rb2PdAuO | Alexandria | PBE-GGA | relaxed; values from VASP
&SYSTEM
  ibrav = 0, nat = 5, ntyp = 4
/
ATOMIC_SPECIES
Rb 85.47 Rb.upf
Pd 106.42 Pd.upf
Au 196.97 Au.upf
O 16.00 O.upf
CELL_PARAMETERS angstrom
6.075 0.000 0.000
0.000 6.075 0.000
0.000 0.000 3.889
ATOMIC_POSITIONS angstrom
Rb 0.000 3.038 0.000
Rb 3.038 0.000 0.000
Pd 0.000 0.000 1.944
Au 3.038 3.038 1.944
O 0.000 0.000 0.000
! formation energy without anion corrections = -2.5 eV per formula unit

! KBe3Fe | Alexandria | PBE-GGA | relaxed; values from VASP
&SYSTEM
  ibrav = 0, nat = 5, ntyp = 3
/
ATOMIC_SPECIES
K 39.10 K.upf
Be 9.01 Be.upf
Fe 55.84 Fe.upf
CELL_PARAMETERS angstrom
4.337 0.000 0.000
0.000 4.337 0.000
0.000 0.000 4.337
ATOMIC_POSITIONS angstrom
K 0.000 0.000 0.000
Be 0.000 2.168 2.168
Be 2.168 0.000 2.168
Be 2.168 2.168 0.000
Fe 2.168 2.168 2.168
! formation energy from the elements = 0.840 eV/atom
! offset from the most stable computed form = 0.000 eV/atom

! LaReN2 | Alexandria | PBE-GGA | relaxed; values from VASP
&SYSTEM
  ibrav = 0, nat = 4, ntyp = 3
/
ATOMIC_SPECIES
La 138.91 La.upf
Re 186.21 Re.upf
N 14.01 N.upf
CELL_PARAMETERS angstrom
3.990 0.000 0.000
0.000 3.990 0.000
0.000 0.000 3.590
ATOMIC_POSITIONS angstrom
La 0.000 0.000 0.000
Re 1.995 1.995 1.795
N 0.000 1.995 1.795
N 1.995 0.000 1.795
! formation energy without anion corrections = -3.6 eV per formula unit
! offset from the most stable computed form = 0.000 eV/atom

! Pm2Nd6Sm3Dy | Alexandria | PBE-GGA | relaxed; values from VASP
&SYSTEM
  ibrav = 0, nat = 12, ntyp = 4
/
ATOMIC_SPECIES
Pm 145.00 Pm.upf
Nd 144.24 Nd.upf
Sm 150.36 Sm.upf
Dy 162.50 Dy.upf
CELL_PARAMETERS angstrom
3.166 -5.483 0.000
3.166 5.483 0.000
-2.116 0.000 11.900
ATOMIC_POSITIONS angstrom
Pm 3.166 3.654 0.000
Pm 3.166 -3.654 0.000
Nd -0.002 1.824 8.929
Nd 1.059 0.000 2.973
Nd -0.002 -1.824 8.929
Nd 4.218 1.824 2.970
Nd 3.157 0.000 8.927
Nd 4.218 -1.824 2.970
Sm -1.058 0.000 5.950
Sm 2.108 1.827 5.950
Sm 2.108 -1.827 5.950
Dy 3.166 0.000 0.000
! formation energy from the elements = 0.012 eV/atom

! Tb4ErAgSe8 | Alexandria | PBE-GGA | relaxed; values from VASP
&SYSTEM
  ibrav = 0, nat = 14, ntyp = 4
/
ATOMIC_SPECIES
Tb 158.93 Tb.upf
Er 167.26 Er.upf
Ag 107.87 Ag.upf
Se 78.96 Se.upf
CELL_PARAMETERS angstrom
4.207 2.429 6.835
-4.207 2.429 6.835
0.000 -4.857 6.835
ATOMIC_POSITIONS angstrom
Tb 0.000 0.000 0.000
Tb -2.024 -1.169 9.419
Tb 2.024 -1.169 9.419
Tb 0.000 2.337 9.419
Er 0.000 0.000 12.702
Ag 0.000 0.000 5.103
Se 0.000 0.000 7.805
Se 0.000 -2.293 11.070
Se -1.985 1.146 11.070
Se -1.945 -1.123 14.549
Se 1.985 1.146 11.070
Se 1.945 -1.123 14.549
Se 0.000 2.246 14.549
Se 0.000 0.000 17.761
! formation energy without anion corrections = -23.1 eV per formula unit

! ZnBIrBr2 | Alexandria | PBE-GGA | relaxed; values from VASP
&SYSTEM
  ibrav = 0, nat = 5, ntyp = 4
/
ATOMIC_SPECIES
Zn 65.41 Zn.upf
B 10.81 B.upf
Ir 192.22 Ir.upf
Br 79.90 Br.upf
CELL_PARAMETERS angstrom
5.252 0.000 0.000
0.000 5.252 0.000
0.000 0.000 3.912
ATOMIC_POSITIONS angstrom
Zn 0.000 0.000 0.000
B 0.000 0.000 1.956
Ir 2.626 2.626 1.956
Br 0.000 2.626 0.000
Br 2.626 0.000 0.000
! formation energy without anion corrections = 7.4 eV per formula unit

! RbTl12Sb6 | Alexandria | PBE-GGA | relaxed; values from VASP
&SYSTEM
  ibrav = 0, nat = 19, ntyp = 3
/
ATOMIC_SPECIES
Rb 85.47 Rb.upf
Tl 204.38 Tl.upf
Sb 121.76 Sb.upf
CELL_PARAMETERS angstrom
-5.448 5.448 5.448
5.448 -5.448 5.448
5.448 5.448 -5.448
ATOMIC_POSITIONS angstrom
Rb 0.000 0.000 0.000
Tl 5.448 3.159 -2.542
Tl 2.906 0.000 2.288
Tl 7.990 0.000 2.288
Tl 2.288 2.906 0.000
Tl 3.159 -2.542 5.448
Tl 0.000 2.288 2.906
Tl 5.448 3.159 2.542
Tl 2.288 7.990 0.000
Tl 3.159 2.542 5.448
Tl -2.542 5.448 3.159
Tl 2.542 5.448 3.159
Tl 0.000 2.288 7.990
Sb 5.448 1.421 0.000
Sb 5.448 0.000 4.027
Sb 4.027 5.448 0.000
Sb 1.421 0.000 5.448
Sb 0.000 5.448 1.421
Sb 0.000 4.027 5.448
! formation energy without anion corrections = -0.5 eV per formula unit